[1]
NaAgF3 after structural relaxation. Source: Alexandria via LeMat-Bulk, functional GGA-PBE.

Results
Magnetization (μB per atom): 0.200
Excess energy over the best structure of this formula in the dataset (eV per formula unit): 2.53
V (Å³ per cell): 74.2
SG: Pm-3m
Formation energy without anion corrections (eV/atom): -1.279

Lattice parameters (Å, degrees): 4.2022 4.2022 4.2022 90.00 90.00 90.00
With the nearest neighbours (Å) after each atom.
Element x y z (fractional)
Na 0.0000 0.0000 0.0000  6 F 2.10
Ag 0.5000 0.5000 0.5000  12 F 2.97
F 0.0000 0.5000 0.0000  2 Na 2.10
F 0.0000 0.0000 0.5000  2 Na 2.10
F 0.5000 0.0000 0.0000  2 Na 2.10



[2]
Na4Ag2F after structural relaxation. Source: Alexandria via LeMat-Bulk, functional GGA-PBE.

Results
Magnetization (μB per atom): 0.000
V (Å³ per cell): 167.3
SG: I4/mmm
Formation energy without anion corrections (eV/atom): -0.664

Lattice parameters (Å, degrees): 4.5909 4.5909 8.5743 105.53 105.53 90.00
With the nearest neighbours (Å) after each atom.
Element x y z (fractional)
Na 0.8368 0.8368 0.6735  1 F 2.59
Na 0.1632 0.1632 0.3265  1 F 2.59
Na 0.0000 0.5000 0.0000  2 F 2.30
Na 0.5000 0.0000 0.0000  2 F 2.30
Ag 0.6430 0.6430 0.2860  9 Na 3.08-3.26
Ag 0.3570 0.3570 0.7140  9 Na 3.08-3.26
F 0.0000 0.0000 0.0000  4 Na 2.30



[3]
NaAg2F3 after structural relaxation. Source: Alexandria via LeMat-Bulk, functional GGA-PBE.

Results
Magnetization (μB per atom): 0.000
Excess energy over the best structure of this formula in the dataset (eV per formula unit): 0.22
V (Å³ per cell): 198.5
SG: Cmcm
Formation energy without anion corrections (eV/atom): -1.517

Lattice parameters (Å, degrees): 4.9600 6.4907 6.4907 108.20 90.00 90.00
With the nearest neighbours (Å) after each atom.
Element x y z (fractional)
Na 0.9934 0.8547 0.8547  3 F 2.21-2.23
Na 0.4934 0.1453 0.1453  3 F 2.21-2.23
Ag 0.4930 0.7554 0.4711  5 F 2.31-2.56
Ag 0.9930 0.5289 0.2446  5 F 2.31-2.56
Ag 0.4930 0.4711 0.7554  5 F 2.31-2.56
Ag 0.9930 0.2446 0.5289  5 F 2.31-2.56
F 0.9928 0.8605 0.5131  1 Na 2.23, 2 Ag 2.31-2.46
F 0.4928 0.4869 0.1395  1 Na 2.23, 2 Ag 2.31-2.46
F 0.9928 0.5131 0.8605  1 Na 2.23, 2 Ag 2.31-2.46
F 0.4928 0.1395 0.4869  1 Na 2.23, 2 Ag 2.31-2.46
F 0.4930 0.8551 0.8551  1 Na 2.21, 2 Ag 2.37
F 0.9930 0.1449 0.1449  1 Na 2.21, 2 Ag 2.37



[4]
Na2AgF4 after structural relaxation. Source: Alexandria via LeMat-Bulk, functional GGA-PBE.

Results
Magnetization (μB per atom): 0.151
Excess energy over the best structure of this formula in the dataset (eV per formula unit): 0.31
V (Å³ per cell): 103.9
SG: C2/m
Formation energy without anion corrections (eV/atom): -2.029

Lattice parameters (Å, degrees): 3.4190 5.8201 6.1923 117.48 106.03 90.00
With the nearest neighbours (Å) after each atom.
Element x y z (fractional)
Na 0.7043 0.7097 0.4087  6 F 2.26-2.47
Na 0.2957 0.2903 0.5913  6 F 2.26-2.47
Ag 0.0000 0.0000 0.0000  2 F 2.09
F 0.8787 0.1656 0.7574  1 Ag 2.09, 2 Na 2.26
F 0.1213 0.8344 0.2426  1 Ag 2.09, 2 Na 2.26
F 0.6423 0.2754 0.2845  3 Na 2.27-2.47, 2 Ag 2.40
F 0.3577 0.7246 0.7155  3 Na 2.27-2.47, 2 Ag 2.40



[5]
Na4AgF5 after structural relaxation. Source: Alexandria via LeMat-Bulk, functional GGA-PBE.

Results
Magnetization (μB per atom): 0.000
V (Å³ per cell): 136.4
SG: I4/m
Formation energy without anion corrections (eV/atom): -2.368

Lattice parameters (Å, degrees): 4.7651 5.8567 5.8567 80.47 66.00 66.00
With the nearest neighbours (Å) after each atom.
Element x y z (fractional)
Na 0.3958 0.4079 0.8026  6 F 2.30-2.42
Na 0.8037 0.8026 0.5921  6 F 2.30-2.42
Na 0.1984 0.1974 0.4079  6 F 2.30-2.42
Na 0.6063 0.5921 0.1974  6 F 2.30-2.42
Ag 0.0011 0.0000 0.0000  6 F 2.38-2.51
F 0.8925 0.4225 0.7946  5 Na 2.30-2.39, 1 Ag 2.51
F 0.3150 0.7946 0.5775  5 Na 2.30-2.39, 1 Ag 2.51
F 0.6870 0.2054 0.4225  5 Na 2.30-2.39, 1 Ag 2.51
F 0.1095 0.5775 0.2054  5 Na 2.30-2.39, 1 Ag 2.51
F 0.5011 0.0000 0.0000  2 Ag 2.38, 4 Na 2.42



[6]
NaAgF3 after structural relaxation. Source: Alexandria via LeMat-Bulk, functional GGA-PBE.

Results
Magnetization (μB per atom): 0.000
Excess energy over the best structure of this formula in the dataset (eV per formula unit): 0.27
V (Å³ per cell): 149.5
SG: Cmcm
Formation energy without anion corrections (eV/atom): -1.731

Lattice parameters (Å, degrees): 4.1298 6.1562 6.2344 90.00 109.37 90.00
With the nearest neighbours (Å) after each atom.
Element x y z (fractional)
Na 0.7938 0.7500 0.5875  7 F 2.36-2.60
Na 0.2062 0.2500 0.4125  7 F 2.36-2.60
Ag 0.5107 0.7500 0.0206  2 F 2.07
Ag 0.4893 0.2500 0.9794  2 F 2.07
F 0.6504 0.0172 0.3000  2 Ag 2.32-2.37, 3 Na 2.36-2.60
F 0.3496 0.5172 0.7000  2 Ag 2.32-2.37, 3 Na 2.36-2.60
F 0.9970 0.2500 0.9948  2 Ag 2.07
F 0.0030 0.7500 0.0052  2 Ag 2.07
F 0.3496 0.9828 0.7000  2 Ag 2.32-2.37, 3 Na 2.36-2.60
F 0.6504 0.4828 0.3000  2 Ag 2.32-2.37, 3 Na 2.36-2.60



Q: Which of these has the highest V?
A: NaAg2F3